Record 1
# AcNd4Dy3 (GGA-PBE, optimized geometry)
# Total energy, eV/atom: -4.53
data_AcNd4Dy3
_chemical_formula_sum 'Ac2 Nd8 Dy6'
_symmetry_space_group_name_H-M 'C 1 2/m 1'
_symmetry_Int_Tables_number 12
_cell_length_a 25.686
_cell_length_b 3.778
_cell_length_c 5.975
_cell_angle_alpha 90.00
_cell_angle_beta 103.37
_cell_angle_gamma 90.00
loop_
_symmetry_equiv_pos_as_xyz
'x,y,z'
'-x,-y,-z'
'-x,y,-z'
'x,-y,z'
'x+1/2,y+1/2,z'
'-x+1/2,-y+1/2,-z'
'-x+1/2,y+1/2,-z'
'x+1/2,-y+1/2,z'
loop_
_atom_site_label
_atom_site_fract_x
_atom_site_fract_y
_atom_site_fract_z
Ac1 0.000 0.000 0.000
Nd1 0.114 0.000 0.614
Nd2 0.141 0.500 0.141
Dy1 0.000 0.500 0.500
Dy2 0.234 0.500 0.734

***

Record 2
# AcNd8Dy4 (GGA-PBE, optimized geometry)
# Total energy, eV/atom: -4.43
data_AcNd8Dy4
_chemical_formula_sum 'Ac3 Nd24 Dy12'
_symmetry_space_group_name_H-M 'R -3 m'
_symmetry_Int_Tables_number 166
_symmetry_space_group_name_Hall '-R 3 2"'
_cell_length_a 7.3986
_cell_length_b 7.3986
_cell_length_c 29.3334
_cell_angle_alpha 90.00
_cell_angle_beta 90.00
_cell_angle_gamma 120.00
loop_
_atom_site_label
_atom_site_fract_x
_atom_site_fract_y
_atom_site_fract_z
Ac1 0.0000 0.0000 0.0000
Nd1 0.0000 0.0000 0.2874
Nd2 0.0371 0.5186 0.2615
Dy1 0.0000 0.0000 0.5000
Dy2 0.0000 0.5000 0.5000

***

Record 3
# AcNdDy2 (GGA-PBE, optimized geometry)
# E above lowest polymorph, meV per atom: 5.9
# Total energy, eV/atom: -4.47
data_AcNdDy2
_chemical_formula_sum 'Ac1 Nd1 Dy2'
_symmetry_space_group_name_H-M 'P 4/m m m'
_symmetry_Int_Tables_number 123
_symmetry_space_group_name_Hall '-P 4 2'
_cell_length_a 3.743
_cell_length_b 3.743
_cell_length_c 10.128
_cell_angle_alpha 90.00
_cell_angle_beta 90.00
_cell_angle_gamma 90.00
loop_
_atom_site_label
_atom_site_fract_x
_atom_site_fract_y
_atom_site_fract_z
Ac1 0.000 0.000 0.000
Nd1 0.000 0.000 0.500
Dy1 0.500 0.500 0.260

***

Record 4
# AcNdDy (GGA-PBE, optimized geometry)
# E above lowest polymorph, meV per atom: 0.0
# Total energy, eV/atom: -4.45
data_AcNdDy
_chemical_formula_sum 'Ac2 Nd2 Dy2'
_symmetry_space_group_name_H-M 'I 4 m m'
_symmetry_Int_Tables_number 107
_symmetry_space_group_name_Hall 'I 4 -2'
_cell_length_a 3.775
_cell_length_b 3.775
_cell_length_c 15.607
_cell_angle_alpha 90.00
_cell_angle_beta 90.00
_cell_angle_gamma 90.00
loop_
_atom_site_label
_atom_site_fract_x
_atom_site_fract_y
_atom_site_fract_z
Ac1 0.000 0.000 0.000
Nd1 0.000 0.000 0.325
Dy1 0.000 0.000 0.670

***

Record 5
# AcNd2Dy9 (GGA-PBE, optimized geometry)
# Total energy, eV/atom: -4.56
data_AcNd2Dy9
_chemical_formula_sum 'Ac1 Nd2 Dy9'
_symmetry_space_group_name_H-M 'P 4/m m m'
_symmetry_Int_Tables_number 123
_symmetry_space_group_name_Hall '-P 4 2'
_cell_length_a 5.093
_cell_length_b 5.093
_cell_length_c 15.287
_cell_angle_alpha 90.00
_cell_angle_beta 90.00
_cell_angle_gamma 90.00
loop_
_atom_site_label
_atom_site_fract_x
_atom_site_fract_y
_atom_site_fract_z
Ac1 0.000 0.000 0.000
Nd1 0.000 0.000 0.335
Dy1 0.000 0.500 0.172
Dy2 0.000 0.500 0.500
Dy3 0.500 0.500 0.000
Dy4 0.500 0.500 0.336

***

Record 6
# Ac2Nd5Dy3 (GGA-PBE, optimized geometry)
# Total energy, eV/atom: -4.38
data_Ac2Nd5Dy3
_chemical_formula_sum 'Ac8 Nd20 Dy12'
_symmetry_space_group_name_H-M 'C 1 2/c 1'
_symmetry_Int_Tables_number 15
_cell_length_a 11.012
_cell_length_b 14.556
_cell_length_c 10.305
_cell_angle_alpha 90.00
_cell_angle_beta 114.49
_cell_angle_gamma 90.00
loop_
_symmetry_equiv_pos_as_xyz
'x,y,z'
'-x,-y,-z'
'-x,y,-z+1/2'
'x,-y,z+1/2'
'x+1/2,y+1/2,z'
'-x+1/2,-y+1/2,-z'
'-x+1/2,y+1/2,-z+1/2'
'x+1/2,-y+1/2,z+1/2'
loop_
_atom_site_label
_atom_site_fract_x
_atom_site_fract_y
_atom_site_fract_z
Ac1 0.191 0.123 0.042
Nd1 0.000 0.029 0.250
Nd2 0.000 0.248 0.250
Nd3 0.000 0.492 0.250
Nd4 0.188 0.128 0.647
Dy1 0.000 0.271 0.750
Dy2 0.165 0.376 0.578

***

Record 7
# AcNdDy (GGA-PBE, optimized geometry)
# E above lowest polymorph, meV per atom: 35.5
# Total energy, eV/atom: -4.41
data_AcNdDy
_chemical_formula_sum 'Ac4 Nd4 Dy4'
_symmetry_space_group_name_H-M 'P n m a'
_symmetry_Int_Tables_number 62
_cell_length_a 12.309
_cell_length_b 5.889
_cell_length_c 6.182
_cell_angle_alpha 90.00
_cell_angle_beta 90.00
_cell_angle_gamma 90.00
loop_
_symmetry_equiv_pos_as_xyz
'x,y,z'
'-x,-y,-z'
'-x+1/2,-y,z+1/2'
'x+1/2,y,-z+1/2'
'x+1/2,-y+1/2,-z+1/2'
'-x+1/2,y+1/2,z+1/2'
'-x,y+1/2,-z'
'x,-y+1/2,z'
loop_
_atom_site_label
_atom_site_fract_x
_atom_site_fract_y
_atom_site_fract_z
Ac1 0.249 0.250 0.003
Nd1 0.064 0.250 0.440
Dy1 0.066 0.750 0.059

***

Record 8
# AcNd3Dy2 (GGA-PBE, optimized geometry)
# E above lowest polymorph, meV per atom: 295.3
# Total energy, eV/atom: -4.25
data_AcNd3Dy2
_chemical_formula_sum 'Ac2 Nd6 Dy4'
_symmetry_space_group_name_H-M 'I m m m'
_symmetry_Int_Tables_number 71
_symmetry_space_group_name_Hall '-I 2 2'
_cell_length_a 3.542
_cell_length_b 6.219
_cell_length_c 19.820
_cell_angle_alpha 90.00
_cell_angle_beta 90.00
_cell_angle_gamma 90.00
loop_
_atom_site_label
_atom_site_fract_x
_atom_site_fract_y
_atom_site_fract_z
Ac1 0.000 0.000 0.000
Nd1 0.000 0.000 0.192
Nd2 0.000 0.500 0.000
Dy1 0.000 0.000 0.361